(P)
Compound: MoW2Cl
Source: Alexandria via LeMat-Bulk
Functional: GGA-PBE
Structure: relaxed

It has space group P4mm (No. 99), with a = 3.040 Å, b = 3.040 Å, c = 7.194 Å, α = 90.00°, β = 90.00° and γ = 90.00°. Symmetry generates all atoms from Mo at (0.000, 0.000, 0.000), W at (0.000, 0.000, 0.455), W at (0.500, 0.500, 0.226) and Cl at (0.500, 0.500, 0.730).

***

(Q)
Compound: MoW2Cl
Source: Alexandria via LeMat-Bulk
Functional: GGA-PBE
Structure: relaxed

It has space group Cmmm (No. 65), with a = 3.126 Å, b = 4.724 Å, c = 8.898 Å, α = 90.00°, β = 90.00° and γ = 90.00°. Symmetry generates all atoms from Mo at (0.000, 0.000, 0.000), W at (0.000, 0.500, 0.243) and Cl at (0.000, 0.000, 0.500).

***

Which structure is the least stable? The one labeled (Q).

***

(P)
Compound: MoW2Cl
Source: Alexandria via LeMat-Bulk
Functional: GGA-PBE
Structure: relaxed

It has space group Pmmm (No. 47), with a = 2.867 Å, b = 4.293 Å, c = 5.382 Å, α = 90.00°, β = 90.00° and γ = 90.00°. Symmetry generates all atoms from Mo at (0.000, 0.000, 0.000), W at (0.500, 0.500, 0.227) and Cl at (0.000, 0.000, 0.500).

***

(Q)
Compound: MoW2Cl
Source: Alexandria via LeMat-Bulk
Functional: GGA-PBE
Structure: relaxed

It has space group Cm (No. 8), with a = 9.716 Å, b = 2.991 Å, c = 4.590 Å, α = 90.00°, β = 91.37° and γ = 90.00°. Symmetry generates all atoms from Mo at (0.000, 0.000, 0.000), W at (0.056, 0.500, 0.456), W at (0.283, 0.000, 0.226) and Cl at (0.261, 0.500, 0.812).

***

(R)
Compound: MoW2Cl
Source: Alexandria via LeMat-Bulk
Functional: GGA-PBE
Structure: relaxed

It has space group Pm (No. 6), with a = 3.098 Å, b = 3.081 Å, c = 7.492 Å, α = 90.00°, β = 90.04° and γ = 90.00°. Symmetry generates all atoms from Mo at (0.000, 0.000, 0.000), W at (0.000, 0.000, 0.581), W at (0.500, 0.500, 0.793) and Cl at (0.998, 0.500, 0.300).

***

(S)
Compound: MoW2Cl
Source: Alexandria via LeMat-Bulk
Functional: GGA-PBE
Structure: relaxed

It has space group I-4m2 (No. 119), with a = 3.784 Å, b = 3.784 Å, c = 8.979 Å, α = 90.00°, β = 90.00° and γ = 90.00°. Symmetry generates all atoms from Mo at (0.000, 0.000, 0.000), W at (0.000, 0.000, 0.500), W at (0.000, 0.500, 0.750) and Cl at (0.000, 0.500, 0.250).

***

Which structure is the least stable? The one labeled (S).

***

(P)
Compound: MoW2Cl
Source: Alexandria via LeMat-Bulk
Functional: GGA-PBE
Structure: relaxed

It has space group Imm2 (No. 44), with a = 2.936 Å, b = 4.579 Å, c = 9.146 Å, α = 90.00°, β = 90.00° and γ = 90.00°. Symmetry generates all atoms from Mo at (0.000, 0.000, 0.000), W at (0.000, 0.000, 0.550), W at (0.000, 0.500, 0.776) and Cl at (0.000, 0.500, 0.275).

***

(Q)
Compound: MoW2Cl
Source: Alexandria via LeMat-Bulk
Functional: GGA-PBE
Structure: relaxed

It has space group P4/mmm (No. 123), with a = 3.022 Å, b = 3.022 Å, c = 7.161 Å, α = 90.00°, β = 90.00° and γ = 90.00°. Symmetry generates all atoms from Mo at (0.000, 0.000, 0.000), W at (0.500, 0.500, 0.231) and Cl at (0.000, 0.000, 0.500).

***

Which structure is the least stable? The one labeled (P).

***

(P)
Compound: MoW2Cl
Source: Alexandria via LeMat-Bulk
Functional: GGA-PBE
Structure: relaxed

It has space group Immm (No. 71), with a = 2.934 Å, b = 4.537 Å, c = 9.308 Å, α = 90.00°, β = 90.00° and γ = 90.00°. Symmetry generates all atoms from Mo at (0.000, 0.000, 0.000), W at (0.000, 0.500, 0.227) and Cl at (0.000, 0.000, 0.500).

***

(Q)
Compound: MoW2Cl
Source: Alexandria via LeMat-Bulk
Functional: GGA-PBE
Structure: relaxed

It has space group I-42d (No. 122), with a = 6.989 Å, b = 6.989 Å, c = 5.375 Å, α = 90.00°, β = 90.00° and γ = 90.00°. Symmetry generates all atoms from Mo at (0.000, 0.000, 0.000), W at (0.200, 0.250, 0.625) and Cl at (0.000, 0.000, 0.500).

***

Which structure is the least stable? The one labeled (Q).